Entry 1:
DFT (GGA-PBEsol) results for crystalline GaRe2BiF at its relaxed geometry.

a b c (Å): 4.2336 4.2336 4.6999
angles (deg): 90.00 90.00 90.00
Sites, in units of the cell vectors:
1 Ga 0.0000 0.0000 0.0000
2 Re 0.0000 0.5000 0.5000
3 Re 0.5000 0.0000 0.5000
4 Bi 0.5000 0.5000 0.0000
5 F 0.0000 0.0000 0.5000

## Properties
**Symmetry**: P4/mmm
**Formation energy (no corrections)**: 1.104 eV per atom


Entry 2:
DFT (GGA-PBEsol) results for crystalline GeBiO2F at its relaxed geometry.

a b c (Å): 3.9719 3.9719 4.1875
angles (deg): 90.00 90.00 90.00
Sites, in units of the cell vectors:
1 Ge 0.0000 0.0000 0.0000
2 Bi 0.5000 0.5000 0.5000
3 O 0.0000 0.5000 0.0000
4 O 0.5000 0.0000 0.0000
5 F 0.0000 0.0000 0.5000

## Properties
**Symmetry**: P4/mmm
**Formation energy (no corrections)**: -1.040 eV per atom


Entry 3:
DFT (GGA-PBEsol) results for crystalline GeBiRh2F at its relaxed geometry.

a b c (Å): 4.6403 4.6403 3.9813
angles (deg): 90.00 90.00 90.00
Sites, in units of the cell vectors:
1 Ge 0.0000 0.0000 0.0000
2 Bi 0.5000 0.5000 0.5000
3 Rh 0.0000 0.5000 0.0000
4 Rh 0.5000 0.0000 0.0000
5 F 0.0000 0.0000 0.5000

## Properties
**Symmetry**: P4/mmm
**Formation energy (no corrections)**: -0.268 eV per atom


Entry 4:
DFT (GGA-PBEsol) results for crystalline Bi2HF at its relaxed geometry.

a b c (Å): 4.5996 4.5996 4.5996
angles (deg): 60.00 60.00 60.00
Sites, in units of the cell vectors:
1 Bi 0.2500 0.2500 0.2500
2 Bi 0.7500 0.7500 0.7500
3 H 0.0000 0.0000 0.0000
4 F 0.5000 0.5000 0.5000

## Properties
**Symmetry**: Fm-3m


Entry 5:
DFT (GGA-PBEsol) results for crystalline BiH2F2 at its relaxed geometry.

a b c (Å): 4.1422 4.1422 4.1422
angles (deg): 116.32 116.32 96.50
Sites, in units of the cell vectors:
1 Bi 0.0000 0.0000 0.0000
2 H 0.4276 0.4276 0.0000
3 H 0.5724 0.5724 0.0000
4 F 0.2500 0.7500 0.5000
5 F 0.7500 0.2500 0.5000

## Properties
**Symmetry**: I4/mmm


Entry 6:
DFT (GGA-PBEsol) results for crystalline HfBi3F at its relaxed geometry.

a b c (Å): 4.9403 4.9403 4.9403
angles (deg): 90.00 90.00 90.00
Sites, in units of the cell vectors:
1 Hf 0.0000 0.0000 0.0000
2 Bi 0.0000 0.5000 0.5000
3 Bi 0.5000 0.0000 0.5000
4 Bi 0.5000 0.5000 0.0000
5 F 0.5000 0.5000 0.5000

## Properties
**Symmetry**: Pm-3m
**Formation energy (no corrections)**: -0.219 eV per atom


Entry 7:
DFT (GGA-PBEsol) results for crystalline HfBiNF2 at its relaxed geometry.

a b c (Å): 4.1744 4.1744 4.2965
angles (deg): 90.00 90.00 90.00
Sites, in units of the cell vectors:
1 Hf 0.0000 0.0000 0.0000
2 Bi 0.5000 0.5000 0.5000
3 N 0.0000 0.0000 0.5000
4 F 0.0000 0.5000 0.0000
5 F 0.5000 0.0000 0.0000

## Properties
**Symmetry**: P4/mmm
**Formation energy (no corrections)**: -1.618 eV per atom


Entry 8:
DFT (GGA-PBEsol) results for crystalline HgBiF3 at its relaxed geometry.

a b c (Å): 4.5047 4.5047 4.5047
angles (deg): 90.00 90.00 90.00
Sites, in units of the cell vectors:
1 Hg 0.0000 0.0000 0.0000
2 Bi 0.5000 0.5000 0.5000
3 F 0.0000 0.0000 0.5000
4 F 0.0000 0.5000 0.0000
5 F 0.5000 0.0000 0.0000

## Properties
**Symmetry**: Pm-3m
**Formation energy (no corrections)**: -0.966 eV per atom


Entry 9:
DFT (GGA-PBEsol) results for crystalline MnHgBiF2 at its relaxed geometry.

a b c (Å): 4.3021 4.3021 5.7235
angles (deg): 90.00 90.00 90.00
Sites, in units of the cell vectors:
1 Mn 0.0000 0.0000 0.0000
2 Hg 0.0000 0.0000 0.5000
3 Bi 0.5000 0.5000 0.0000
4 F 0.0000 0.5000 0.5000
5 F 0.5000 0.0000 0.5000

## Properties
**Symmetry**: P4/mmm
**Formation energy (no corrections)**: -0.266 eV per atom


Entry 10:
DFT (GGA-PBEsol) results for crystalline HgBiNF2 at its relaxed geometry.

a b c (Å): 4.4442 4.4442 4.5472
angles (deg): 90.00 90.00 90.00
Sites, in units of the cell vectors:
1 Hg 0.0000 0.0000 0.0000
2 Bi 0.5000 0.5000 0.5000
3 N 0.5000 0.5000 0.0000
4 F 0.0000 0.5000 0.5000
5 F 0.5000 0.0000 0.5000

## Properties
**Symmetry**: P4/mmm
**Formation energy (no corrections)**: -0.495 eV per atom


Entry 11:
DFT (GGA-PBEsol) results for crystalline Sc2HgBiF at its relaxed geometry.

a b c (Å): 5.5564 5.5564 4.3975
angles (deg): 90.00 90.00 90.00
Sites, in units of the cell vectors:
1 Sc 0.0000 0.5000 0.0000
2 Sc 0.5000 0.0000 0.0000
3 Hg 0.0000 0.0000 0.5000
4 Bi 0.5000 0.5000 0.0000
5 F 0.5000 0.5000 0.5000

## Properties
**Symmetry**: P4/mmm
**Formation energy (no corrections)**: -0.285 eV per atom


Entry 12:
DFT (GGA-PBEsol) results for crystalline BiIN2F at its relaxed geometry.

a b c (Å): 4.6318 4.6318 4.1437
angles (deg): 90.00 90.00 90.00
Sites, in units of the cell vectors:
1 Bi 0.0000 0.0000 0.0000
2 I 0.5000 0.5000 0.0000
3 N 0.0000 0.5000 0.5000
4 N 0.5000 0.0000 0.5000
5 F 0.5000 0.5000 0.5000

## Properties
**Symmetry**: P4/mmm
**Formation energy (no corrections)**: 1.704 eV per atom


Entry 13:
DFT (GGA-PBEsol) results for crystalline BiINF2 at its relaxed geometry.

a b c (Å): 4.3927 4.3927 4.7508
angles (deg): 90.00 90.00 90.00
Sites, in units of the cell vectors:
1 Bi 0.0000 0.0000 0.0000
2 I 0.5000 0.5000 0.5000
3 N 0.0000 0.0000 0.5000
4 F 0.0000 0.5000 0.0000
5 F 0.5000 0.0000 0.0000

## Properties
**Symmetry**: P4/mmm
**Formation energy (no corrections)**: -0.438 eV per atom


Entry 14:
DFT (GGA-PBEsol) results for crystalline BiTe2IF at its relaxed geometry.

a b c (Å): 5.9570 5.9570 5.9619
angles (deg): 90.00 90.00 90.00
Sites, in units of the cell vectors:
1 Bi 0.0000 0.0000 0.0000
2 Te 0.0000 0.5000 0.0000
3 Te 0.5000 0.0000 0.0000
4 I 0.0000 0.0000 0.5000
5 F 0.5000 0.5000 0.5000

## Properties
**Symmetry**: P4/mmm
**Formation energy (no corrections)**: 0.396 eV per atom


Entry 15:
DFT (GGA-PBEsol) results for crystalline BiTeI2F at its relaxed geometry.

a b c (Å): 5.9459 5.9459 6.0963
angles (deg): 90.00 90.00 90.00
Sites, in units of the cell vectors:
1 Bi 0.0000 0.0000 0.0000
2 Te 0.0000 0.0000 0.5000
3 I 0.0000 0.5000 0.0000
4 I 0.5000 0.0000 0.0000
5 F 0.5000 0.5000 0.5000

## Properties
**Symmetry**: P4/mmm
**Formation energy (no corrections)**: 0.163 eV per atom


Entry 16:
DFT (GGA-PBEsol) results for crystalline InBi3F at its relaxed geometry.

a b c (Å): 5.6416 5.6416 5.6416
angles (deg): 90.00 90.00 90.00
Sites, in units of the cell vectors:
1 In 0.0000 0.0000 0.0000
2 Bi 0.0000 0.0000 0.5000
3 Bi 0.0000 0.5000 0.0000
4 Bi 0.5000 0.0000 0.0000
5 F 0.5000 0.5000 0.5000

## Properties
**Symmetry**: Pm-3m
**Formation energy (no corrections)**: 0.468 eV per atom


Entry 17:
DFT (GGA-PBEsol) results for crystalline InBiO2F at its relaxed geometry.

a b c (Å): 4.1898 4.1898 4.1748
angles (deg): 90.00 90.00 90.00
Sites, in units of the cell vectors:
1 In 0.0000 0.0000 0.0000
2 Bi 0.5000 0.5000 0.5000
3 O 0.0000 0.5000 0.0000
4 O 0.5000 0.0000 0.0000
5 F 0.0000 0.0000 0.5000

## Properties
**Symmetry**: P4/mmm
**Formation energy (no corrections)**: -1.178 eV per atom


Entry 18:
DFT (GGA-PBEsol) results for crystalline Rb2InBiF6 at its relaxed geometry.

a b c (Å): 6.7446 6.7446 6.7446
angles (deg): 60.00 60.00 60.00
Sites, in units of the cell vectors:
1 Rb 0.2500 0.2500 0.2500
2 Rb 0.7500 0.7500 0.7500
3 In 0.0000 0.0000 0.0000
4 Bi 0.5000 0.5000 0.5000
5 F 0.2635 0.2635 0.7365
6 F 0.2635 0.7365 0.2635
7 F 0.2635 0.7365 0.7365
8 F 0.7365 0.2635 0.2635
9 F 0.7365 0.2635 0.7365
10 F 0.7365 0.7365 0.2635

## Properties
**Symmetry**: Fm-3m
**Formation energy (no corrections)**: -2.370 eV per atom


Entry 19:
DFT (GGA-PBEsol) results for crystalline BiIr2F at its relaxed geometry.

a b c (Å): 4.4382 4.4382 4.4382
angles (deg): 60.00 60.00 60.00
Sites, in units of the cell vectors:
1 Bi 0.0000 0.0000 0.0000
2 Ir 0.2500 0.2500 0.2500
3 Ir 0.7500 0.7500 0.7500
4 F 0.5000 0.5000 0.5000

## Properties
**Symmetry**: Fm-3m
**Formation energy (no corrections)**: 0.360 eV per atom


Entry 20:
DFT (GGA-PBEsol) results for crystalline BiIrF2 at its relaxed geometry.

a b c (Å): 4.3736 4.3736 4.3736
angles (deg): 60.00 60.00 60.00
Sites, in units of the cell vectors:
1 Bi 0.0000 0.0000 0.0000
2 Ir 0.5000 0.5000 0.5000
3 F 0.2500 0.2500 0.2500
4 F 0.7500 0.7500 0.7500

## Properties
**Symmetry**: Fm-3m
**Formation energy (no corrections)**: -0.140 eV per atom


Entry 21:
DFT (GGA-PBEsol) results for crystalline LiBiIr2F at its relaxed geometry.

a b c (Å): 4.2529 4.2529 4.7565
angles (deg): 90.00 90.00 90.00
Sites, in units of the cell vectors:
1 Li 0.0000 0.0000 0.0000
2 Bi 0.5000 0.5000 0.0000
3 Ir 0.0000 0.5000 0.5000
4 Ir 0.5000 0.0000 0.5000
5 F 0.5000 0.5000 0.5000

## Properties
**Symmetry**: P4/mmm
**Formation energy (no corrections)**: 0.737 eV per atom


Entry 22:
DFT (GGA-PBEsol) results for crystalline BiIrOF2 at its relaxed geometry.

a b c (Å): 4.4218 4.4218 4.5355
angles (deg): 90.00 90.00 90.00
Sites, in units of the cell vectors:
1 Bi 0.0000 0.0000 0.0000
2 Ir 0.5000 0.5000 0.5000
3 O 0.0000 0.0000 0.5000
4 F 0.0000 0.5000 0.0000
5 F 0.5000 0.0000 0.0000

## Properties
**Symmetry**: P4/mmm
**Formation energy (no corrections)**: 0.011 eV per atom


Entry 23:
DFT (GGA-PBEsol) results for crystalline KBi3F10 at its relaxed geometry.

a b c (Å): 8.4368 8.4368 8.4368
angles (deg): 60.00 60.00 60.00
Sites, in units of the cell vectors:
1 K 0.2500 0.2500 0.2500
2 K 0.7500 0.7500 0.7500
3 Bi 0.2402 0.2402 0.7598
4 Bi 0.2402 0.7598 0.2402
5 Bi 0.2402 0.7598 0.7598
6 Bi 0.7598 0.2402 0.2402
7 Bi 0.7598 0.2402 0.7598
8 Bi 0.7598 0.7598 0.2402
9 F 0.1151 0.1151 0.1151
10 F 0.1151 0.1151 0.6547
11 F 0.1151 0.6547 0.1151
12 F 0.1696 0.5000 0.5000
13 F 0.1696 0.5000 0.8304
14 F 0.1696 0.8304 0.5000
15 F 0.3453 0.8849 0.8849
16 F 0.5000 0.1696 0.5000
17 F 0.5000 0.1696 0.8304
18 F 0.5000 0.5000 0.1696
19 F 0.5000 0.5000 0.8304
20 F 0.5000 0.8304 0.1696
21 F 0.5000 0.8304 0.5000
22 F 0.6547 0.1151 0.1151
23 F 0.8304 0.1696 0.5000
24 F 0.8304 0.5000 0.1696
25 F 0.8304 0.5000 0.5000
26 F 0.8849 0.3453 0.8849
27 F 0.8849 0.8849 0.3453
28 F 0.8849 0.8849 0.8849

## Properties
**Symmetry**: Fm-3m
**Formation energy (no corrections)**: -2.555 eV per atom


Entry 24:
DFT (GGA-PBEsol) results for crystalline K2BiF at its relaxed geometry.

a b c (Å): 7.0280 7.0280 7.0280
angles (deg): 113.92 113.92 100.90
Sites, in units of the cell vectors:
1 K 0.0048 0.1250 0.3798
2 K 0.3750 0.9952 0.1202
3 K 0.7452 0.6250 0.6202
4 K 0.8750 0.2548 0.8798
5 Bi 0.2500 0.7500 0.5000
6 Bi 0.5000 0.5000 0.0000
7 F 0.0000 0.0000 0.0000
8 F 0.7500 0.2500 0.5000

## Properties
**Symmetry**: I-42d
**Formation energy (no corrections)**: -1.208 eV per atom


Entry 25:
DFT (GGA-PBEsol) results for crystalline KBi2F7 at its relaxed geometry.

a b c (Å): 4.1129 4.1129 11.1729
angles (deg): 95.03 95.03 60.53
Sites, in units of the cell vectors:
1 K 0.0000 0.0000 0.0000
2 Bi 0.3822 0.3822 0.3087
3 Bi 0.6112 0.6112 0.6978
4 F 0.0393 0.0393 0.2629
5 F 0.3147 0.3147 0.7527
6 F 0.3533 0.3533 0.1102
7 F 0.4239 0.4239 0.5131
8 F 0.6494 0.6494 0.8925
9 F 0.7189 0.7189 0.3442
10 F 0.9701 0.9701 0.6837

## Properties
**Symmetry**: Cm
**Formation energy (no corrections)**: -2.543 eV per atom


DFT total energy? In order: -0.4513, -0.3947, -0.4229, -0.2729, -0.2872, -0.3878, -0.5183, -0.2273, -0.2910, -0.2897, -0.3148, -0.2427, -0.3032, -0.1919, -0.1831, -0.2268, -0.3761, -0.3277, -0.4487, -0.3404, -0.3549, -0.3404, -0.3624, -0.2446, -0.3574 Ry/atom.